Entry 1:
Here is PrDy3In3 after structural relaxation from the Alexandria database. Energies are from GGA-PBE.

Computed properties:
relative energy among the computed polymorphs: 41 meV/atom
energy of formation: -0.3206 eV/atom
SG: P2_13 (198)

The structure in extended XYZ format:
```
28
Lattice="9.3869 0.0000 0.0000 0.0000 9.3869 0.0000 0.0000 0.0000 9.3869" Properties=species:S:1:pos:R:3 pbc="T T T"
Pr 0.4672 4.2262 5.1606
Pr 4.2262 5.1606 0.4672
Pr 5.1606 0.4672 4.2262
Pr 8.9197 8.9197 8.9197
Dy 1.0807 5.7741 8.3062
Dy 1.5851 1.5851 1.5851
Dy 1.8652 7.5217 2.8282
Dy 2.8282 1.8652 7.5217
Dy 3.1083 7.8018 6.2786
Dy 3.6128 3.6128 3.6128
Dy 5.7741 8.3062 1.0807
Dy 6.2786 3.1083 7.8018
Dy 6.5586 6.5586 6.5586
Dy 7.5217 2.8282 1.8652
Dy 7.8018 6.2786 3.1083
Dy 8.3062 1.0807 5.7741
In 0.0493 7.4952 5.6341
In 0.9407 4.6441 1.8917
In 1.8917 0.9407 4.6441
In 2.8017 8.4462 9.3376
In 3.7527 4.7428 6.5851
In 4.6441 1.8917 0.9407
In 4.7428 6.5851 3.7527
In 5.6341 0.0493 7.4952
In 6.5851 3.7527 4.7428
In 7.4952 5.6341 0.0493
In 8.4462 9.3376 2.8017
In 9.3376 2.8017 8.4462
```

Entry 2:
Here is Li2AlBiF8 after structural relaxation from the Alexandria database. Energies are from GGA-PBE.

Computed properties:
energy relative to the elements, uncorrected: -2.7947 eV per atom
SG: P-3m1 (164)

The structure in extended XYZ format:
```
12
Lattice="5.3718 0.0000 0.0000 -2.6859 4.6521 0.0000 0.0000 0.0000 6.3484" Properties=species:S:1:pos:R:3 pbc="T T T"
Li 0.0000 3.1014 1.4540
Li 2.6859 1.5507 4.8944
Al 0.0000 0.0000 3.1742
Bi 0.0000 0.0000 0.0000
F 0.0000 1.3937 2.0168
F -1.4789 3.9553 2.0168
F 1.2070 0.6968 4.3316
F 0.0000 3.1014 6.0247
F 2.6859 1.5507 0.3237
F 1.4789 3.9553 2.0168
F 4.1648 0.6968 4.3316
F 2.6859 3.2584 4.3316
```

Entry 3:
Here is Tm3BiB after structural relaxation from the Alexandria database. Energies are from GGA-PBE.

Computed properties:
energy of formation: -0.4708 eV/atom
SG: Pm-3m (221)

The structure in extended XYZ format:
```
5
Lattice="4.9692 0.0000 0.0000 0.0000 4.9692 0.0000 0.0000 0.0000 4.9692" Properties=species:S:1:pos:R:3 pbc="T T T"
Tm 0.0000 0.0000 2.4846
Tm 0.0000 2.4846 0.0000
Tm 2.4846 0.0000 0.0000
Bi 2.4846 2.4846 2.4846
B 0.0000 0.0000 0.0000
```

Entry 4:
Here is KTlIn2Co after structural relaxation from the Alexandria database. Energies are from GGA-PBE.

Computed properties:
energy of formation: -0.0080 eV/atom
SG: P4/mmm (123)

The structure in extended XYZ format:
```
5
Lattice="5.0658 0.0000 0.0000 0.0000 5.0658 0.0000 0.0000 0.0000 5.1691" Properties=species:S:1:pos:R:3 pbc="T T T"
K 0.0000 0.0000 0.0000
Tl 2.5329 2.5329 0.0000
In 0.0000 2.5329 2.5846
In 2.5329 0.0000 2.5846
Co 2.5329 2.5329 2.5846
```

Entry 5:
Here is Mg2Fe2Ir15 after structural relaxation from the Alexandria database. Energies are from GGA-PBE.

Computed properties:
energy of formation: 0.2414 eV/atom
SG: R-3m (166)

The structure in extended XYZ format:
```
19
Lattice="4.5120 2.6050 4.4203 -4.5120 2.6050 4.4203 0.0000 -5.2100 4.4203" Properties=species:S:1:pos:R:3 pbc="T T T"
Mg 0.0000 0.0000 1.5339
Mg 0.0000 0.0000 11.7271
Fe 0.0000 0.0000 5.4252
Fe 0.0000 0.0000 7.8357
Ir -4.5120 0.0000 6.6305
Ir -1.3446 -2.8811 4.4203
Ir -2.2560 1.3025 2.2102
Ir -3.1674 0.2761 4.4203
Ir -2.2079 -1.2747 6.3469
Ir 1.3446 -2.8811 4.4203
Ir -1.8228 2.6050 4.4203
Ir 0.0000 -2.5495 6.9140
Ir -2.2079 1.2747 6.9140
Ir 2.2560 1.3025 2.2102
Ir 2.2079 -1.2747 6.3469
Ir 0.0000 2.5495 6.3469
Ir 3.1674 0.2761 4.4203
Ir 1.8228 2.6050 4.4203
Ir 2.2079 1.2747 6.9140
```

Entry 6:
Here is Ca4LaZn after structural relaxation from the Alexandria database. Energies are from GGA-PBE.

Computed properties:
energy of formation: 0.3830 eV/atom
SG: F-43m (216)

The structure in extended XYZ format:
```
6
Lattice="0.0000 4.8956 4.8956 4.8956 0.0000 4.8956 4.8956 4.8956 0.0000" Properties=species:S:1:pos:R:3 pbc="T T T"
Ca 1.2218 1.2218 1.2218
Ca 3.6738 3.6738 1.2218
Ca 3.6738 1.2218 3.6738
Ca 1.2218 3.6738 3.6738
La 7.3434 7.3434 7.3434
Zn 4.8956 4.8956 4.8956
```

Entry 7:
Here is Sc3CdN after structural relaxation from the Alexandria database. Energies are from GGA-PBE.

Computed properties:
energy relative to the elements, uncorrected: -0.6429 eV per atom
SG: P6_3/mmc (194)

The structure in extended XYZ format:
```
10
Lattice="3.6634 0.0000 0.0000 -1.8317 3.1726 0.0000 0.0000 0.0000 17.7987" Properties=species:S:1:pos:R:3 pbc="T T T"
Sc 0.0000 0.0000 4.4497
Sc 0.0000 0.0000 13.3491
Sc 0.0000 2.1151 2.2241
Sc 0.0000 2.1151 6.6752
Sc 1.8317 1.0575 11.1235
Sc 1.8317 1.0575 15.5746
Cd 0.0000 0.0000 0.0000
Cd 0.0000 0.0000 8.8994
N 0.0000 2.1151 4.4497
N 1.8317 1.0575 13.3491
```

Entry 8:
Here is LaSc3Re after structural relaxation from the Alexandria database. Energies are from GGA-PBE.

Computed properties:
relative energy among the computed polymorphs: 1584 meV/atom
energy of formation: 1.7019 eV/atom
SG: Pm-3m (221)

The structure in extended XYZ format:
```
5
Lattice="4.9643 0.0000 0.0000 0.0000 4.9643 0.0000 0.0000 0.0000 4.9643" Properties=species:S:1:pos:R:3 pbc="T T T"
La 0.0000 0.0000 0.0000
Sc 0.0000 0.0000 2.4822
Sc 0.0000 2.4822 0.0000
Sc 2.4822 0.0000 0.0000
Re 2.4822 2.4822 2.4822
```

Entry 9:
Here is Li2H2Pd after structural relaxation from the Alexandria database. Energies are from GGA-PBE.

Computed properties:
raw total energy: -3.165 eV per atom
SG: I4/mmm (139)

The structure in extended XYZ format:
```
10
Lattice="3.3617 0.0000 0.0000 0.0000 3.3617 0.0000 0.0000 0.0000 7.9223" Properties=species:S:1:pos:R:3 pbc="T T T"
Li 0.0000 0.0000 1.2978
Li 0.0000 0.0000 6.6244
Li 1.6809 1.6809 2.6633
Li 1.6809 1.6809 5.2590
H 0.0000 1.6809 1.9806
H 0.0000 1.6809 5.9417
H 1.6809 0.0000 1.9806
H 1.6809 0.0000 5.9417
Pd 0.0000 0.0000 3.9611
Pd 1.6809 1.6809 0.0000
```

Entry 10:
Here is MnAs2PbBr after structural relaxation from the Alexandria database. Energies are from GGA-PBE.

Computed properties:
relative energy among the computed polymorphs: 845 meV/atom
energy relative to the elements, uncorrected: 0.9587 eV per atom
SG: P4/mmm (123)

The structure in extended XYZ format:
```
5
Lattice="5.4584 0.0000 0.0000 0.0000 5.4584 0.0000 0.0000 0.0000 5.6521" Properties=species:S:1:pos:R:3 pbc="T T T"
Mn 0.0000 0.0000 0.0000
As 0.0000 2.7292 2.8260
As 2.7292 0.0000 2.8260
Pb 2.7292 2.7292 2.8260
Br 2.7292 2.7292 0.0000
```

Entry 11:
Here is NaZn2H4 after structural relaxation from the Alexandria database. Energies are from GGA-PBE.

Computed properties:
relative energy among the computed polymorphs: 0 meV/atom
SG: P-42m (111)

The structure in extended XYZ format:
```
7
Lattice="4.0918 0.0000 0.0000 0.0000 4.0918 0.0000 0.0000 0.0000 5.2609" Properties=species:S:1:pos:R:3 pbc="T T T"
Na 0.0000 0.0000 0.0000
Zn 0.0000 2.0459 2.6305
Zn 2.0459 0.0000 2.6305
H 1.0627 1.0627 1.6616
H 1.0627 3.0292 3.5993
H 3.0292 1.0627 3.5993
H 3.0292 3.0292 1.6616
```

Entry 12:
Here is SmScPt after structural relaxation from the Alexandria database. Energies are from GGA-PBE.

Computed properties:
relative energy among the computed polymorphs: 142 meV/atom
energy of formation: -0.7718 eV/atom
SG: F-43m (216)

The structure in extended XYZ format:
```
12
Lattice="6.7664 0.0000 0.0000 0.0000 6.7664 0.0000 0.0000 0.0000 6.7664" Properties=species:S:1:pos:R:3 pbc="T T T"
Sm 0.0000 0.0000 0.0000
Sm 0.0000 3.3832 3.3832
Sm 3.3832 0.0000 3.3832
Sm 3.3832 3.3832 0.0000
Sc 0.0000 0.0000 3.3832
Sc 0.0000 3.3832 0.0000
Sc 3.3832 0.0000 0.0000
Sc 3.3832 3.3832 3.3832
Pt 1.6916 1.6916 5.0748
Pt 1.6916 5.0748 1.6916
Pt 5.0748 1.6916 1.6916
Pt 5.0748 5.0748 5.0748
```

| no. | DOS(E_F) (states/eV per cell) |
| --- | --- |
| 1 | 27.8 |
| 2 | 0.0 |
| 3 | 2.2 |
| 4 | 3.6 |
| 5 | 26.6 |
| 6 | 9.0 |
| 7 | 9.1 |
| 8 | 8.6 |
| 9 | 3.0 |
| 10 | 3.1 |
| 11 | 1.1 |
| 12 | 10.9 |